{"formula": "Cs2FeOF5", "functional": "PBE+U", "state": "relaxed", "space_group": "Cmcm (63)", "cell": [[6.540, 0.219, 0.000], [-0.868, 6.486, 0.000], [0.000, 0.000, 9.079]], "species": ["F", "F", "F", "F", "F", "F", "F", "F", "F", "F", "Cs", "Cs", "Cs", "Cs", "O", "O", "Fe", "Fe"], "frac_coords": [[0.287, 0.287, 0.459], [0.287, 0.287, 0.041], [0.950, 0.555, 0.750], [0.445, 0.050, 0.250], [0.954, 0.954, 0.750], [0.555, 0.950, 0.750], [0.713, 0.713, 0.541], [0.046, 0.046, 0.250], [0.050, 0.445, 0.250], [0.713, 0.713, 0.959], [0.760, 0.240, 0.000], [0.240, 0.760, 0.500], [0.760, 0.240, 0.500], [0.240, 0.760, 0.000], [0.538, 0.538, 0.750], [0.462, 0.462, 0.250], [0.256, 0.256, 0.250], [0.744, 0.744, 0.750]]}

***

{"formula": "CsFeO2F", "functional": "PBE+U", "state": "relaxed", "space_group": "P4/mmm (123)", "dos_at_fermi_per_ev_cell": 3.13, "cell": [[4.498, 0.000, 0.000], [0.000, 4.498, 0.000], [0.000, 0.000, 5.157]], "species": ["F", "Fe", "Cs", "O", "O"], "frac_coords": [[0.000, 0.000, 0.500], [0.500, 0.500, 0.500], [0.000, 0.000, 0.000], [0.500, 0.000, 0.000], [0.000, 0.500, 0.000]]}

***

{"formula": "CsFePbF6", "functional": "PBE+U", "state": "relaxed", "space_group": "P1 (1)", "dos_at_fermi_per_ev_cell": 0.00, "cell": [[5.871, -0.049, 0.014], [2.892, 4.980, -0.005], [0.017, -0.019, 5.780]], "species": ["F", "F", "F", "F", "F", "F", "Fe", "Cs", "Pb"], "frac_coords": [[0.669, 0.146, 0.621], [0.234, 0.623, 0.681], [0.465, 0.020, 0.278], [0.007, 0.509, 0.324], [0.478, 0.507, 0.286], [0.216, 0.150, 0.670], [0.338, 0.331, 0.477], [0.975, 0.014, 0.083], [0.619, 0.699, 0.580]]}

***

| no. | total DFT energy (no corrections) (eV per atom) |
| --- | --- |
| 1 | -4.508 |
| 2 | -3.386 |
| 3 | -4.688 |